Computed, not measured: crystalline AcBeAs3 at its relaxed geometry at the PBE level of DFT.

a b c (Å): 4.7402 4.7402 4.7402
angles (deg): 90.00 90.00 90.00
Sites, in units of the cell vectors:
Ac  0.0000  0.0000  0.0000
Be  0.5000  0.5000  0.5000
As  0.0000  0.5000  0.5000
As  0.5000  0.0000  0.5000
As  0.5000  0.5000  0.0000

Total magnetization (Bohr magnetons per cell): 0.00
ΔH_f (0 K) (kJ/mol of atoms): -35.4
Volume (Å³ per cell): 106.5
SG: No. 221